Material: YIrOs2
Method: DFT, SCAN
State: PBEsol geometry

Values from the calculation:
Energy relative to the lowest polymorph listed for this composition ... 0.0 meV/atom

Cell and atoms, written as extended XYZ:
```
4
Lattice="2.928 0.000 0.000 0.000 4.636 0.000 0.000 0.000 4.757" Properties=species:S:1:pos:R:3 pbc="T T T"
Y 0.000 0.000 0.000
Ir 1.464 2.318 0.000
Os 0.000 2.318 2.379
Os 1.464 0.000 2.379
```


Material: YIrOs2
Method: DFT, SCAN
State: PBEsol geometry

Values from the calculation:
Energy relative to the lowest polymorph listed for this composition ... 72.0 meV/atom

Cell and atoms, written as extended XYZ:
```
4
Lattice="2.685 -4.754 0.000 2.685 4.754 0.000 -1.215 0.000 2.524" Properties=species:S:1:pos:R:3 pbc="T T T"
Y 0.000 0.000 0.000
Ir 2.685 0.000 0.000
Os 0.735 2.377 1.262
Os 0.735 -2.377 1.262
```


Material: YIrOs2
Method: DFT, SCAN
State: PBEsol geometry

Values from the calculation:
Energy relative to the lowest polymorph listed for this composition ... 170.5 meV/atom

Cell and atoms, written as extended XYZ:
```
4
Lattice="1.390 0.803 9.522 -1.390 0.803 9.522 0.000 -1.605 9.522" Properties=species:S:1:pos:R:3 pbc="T T T"
Y 0.000 0.000 0.000
Ir 0.000 0.000 21.614
Os 0.000 0.000 6.852
Os 0.000 0.000 14.295
```


Material: ZnIr3Os
Method: DFT, SCAN
State: PBEsol geometry

Cell and atoms, written as extended XYZ:
```
5
Lattice="4.685 0.000 0.000 0.000 4.685 0.000 0.000 0.000 4.685" Properties=species:S:1:pos:R:3 pbc="T T T"
Zn 0.000 0.000 0.000
Ir 0.000 2.342 2.342
Ir 2.342 0.000 2.342
Ir 2.342 2.342 0.000
Os 2.342 2.342 2.342
```


Material: ZrIrOs2
Method: DFT, SCAN
State: PBEsol geometry

Values from the calculation:
Energy relative to the lowest polymorph listed for this composition ... 261.8 meV/atom

Cell and atoms, written as extended XYZ:
```
4
Lattice="2.774 0.000 0.000 0.000 2.774 0.000 0.000 0.000 8.052" Properties=species:S:1:pos:R:3 pbc="T T T"
Zr 0.000 0.000 0.000
Ir 0.000 0.000 4.026
Os 1.387 1.387 2.192
Os 1.387 1.387 5.860
```


Material: Zr2IrOs
Method: DFT, SCAN
State: PBEsol geometry

Values from the calculation:
Energy relative to the lowest polymorph listed for this composition ... 14.7 meV/atom

Cell and atoms, written as extended XYZ:
```
4
Lattice="0.000 3.255 3.255 3.255 0.000 3.255 3.255 3.255 0.000" Properties=species:S:1:pos:R:3 pbc="T T T"
Zr 1.627 1.627 1.627
Zr 4.882 4.882 4.882
Ir 0.000 0.000 0.000
Os 3.255 3.255 3.255
```


Material: ZrIrOs2
Method: DFT, SCAN
State: PBEsol geometry

Values from the calculation:
Energy relative to the lowest polymorph listed for this composition ... 299.1 meV/atom

Cell and atoms, written as extended XYZ:
```
4
Lattice="2.671 -4.678 0.000 2.671 4.678 0.000 -1.243 0.000 2.485" Properties=species:S:1:pos:R:3 pbc="T T T"
Zr 0.000 0.000 0.000
Ir 2.671 0.000 0.000
Os 0.714 2.339 1.242
Os 0.714 -2.339 1.242
```


Material: ZrIrOs2
Method: DFT, SCAN
State: PBEsol geometry

Values from the calculation:
Energy relative to the lowest polymorph listed for this composition ... 31.5 meV/atom

Cell and atoms, written as extended XYZ:
```
4
Lattice="4.625 -1.407 0.000 4.625 1.407 0.000 -0.846 0.000 4.756" Properties=species:S:1:pos:R:3 pbc="T T T"
Zr 0.000 0.000 0.000
Ir 1.623 0.000 3.567
Os 4.207 0.000 2.327
Os 6.772 0.000 1.409
```


no.,DOS(E_F) (states/eV/f.u.),energy relative to the elements (eV/atom)
1,3.036,0.2295
2,3.103,0.3015
3,4.614,0.4000
4,4.810,1.9081
5,4.200,0.0187
6,3.320,-0.8433
7,3.680,0.0560
8,3.055,-0.2115